Entry 1:
NdCo2SiH (PBE, relaxed); magnetic moment = 0.537 μB/f.u.; E = -6.05 eV/atom; SG = Cmcm (63)
1.0
3.736 0.000 0.000
-1.868 5.246 0.000
0.000 0.000 6.737
Nd Co H Si
2 4 2 2
Direct
0.562 0.124 0.250
0.438 0.876 0.750
0.166 0.332 0.558
0.834 0.668 0.058
0.166 0.332 0.942
0.834 0.668 0.442
0.000 0.000 0.000
0.000 0.000 0.500
0.281 0.562 0.250
0.719 0.438 0.750

=====

Entry 2:
Co4NiH (PBE, relaxed); magnetic moment = 6.813 μB/f.u.; E = -6.25 eV/atom; SG = C2/m (12)
1.0
2.482 0.000 -0.385
-0.140 4.297 -0.903
0.459 -2.882 11.138
Ni Co H
2 8 2
Direct
0.800 0.530 0.600
0.200 0.470 0.400
0.897 0.097 0.794
0.103 0.903 0.206
0.700 0.967 0.400
0.603 0.417 0.205
0.397 0.583 0.795
0.000 0.000 0.000
0.500 0.500 0.000
0.300 0.033 0.600
0.551 0.954 0.102
0.449 0.046 0.898

=====

Entry 3:
CoNiH2 (PBE, relaxed); magnetic moment = 1.173 μB/f.u.; E = -4.84 eV/atom; SG = I-42d (122)
1.0
3.863 0.000 0.000
0.000 3.863 0.000
1.931 1.931 3.771
H Co Ni
4 2 2
Direct
0.630 0.125 0.250
0.875 0.880 0.750
0.375 0.370 0.750
0.120 0.625 0.250
0.250 0.750 0.500
0.500 0.500 0.000
0.000 0.000 0.000
0.750 0.250 0.500

=====

Entry 4:
CoNi2H2 (PBE, relaxed); magnetic moment = 2.124 μB/f.u.; E = -4.87 eV/atom; SG = P4/mbm (127)
1.0
5.490 0.000 0.000
0.000 5.490 0.000
0.000 0.000 2.614
H Ni Co
4 4 2
Direct
0.703 0.203 0.000
0.203 0.297 0.000
0.797 0.703 0.000
0.297 0.797 0.000
0.160 0.660 0.500
0.840 0.340 0.500
0.660 0.840 0.500
0.340 0.160 0.500
0.000 0.000 0.000
0.500 0.500 0.000

=====

Entry 5:
Co3NiH4 (PBE, relaxed); magnetic moment = 3.294 μB/f.u.; E = -5.05 eV/atom; SG = I4/mmm (139)
1.0
3.388 0.003 -1.502
-0.669 3.321 -1.502
-0.017 -0.021 4.534
Co H Ni
3 4 1
Direct
0.750 0.250 0.500
0.500 0.500 0.000
0.250 0.750 0.500
0.255 0.255 0.510
0.000 0.500 0.000
0.745 0.745 0.490
0.500 0.000 0.000
0.000 0.000 0.000

=====

Entry 6:
CoNi3H (PBE, relaxed); magnetic moment = 3.065 μB/f.u.; E = -5.56 eV/atom; SG = P-1 (2)
1.0
2.482 0.000 -0.420
0.028 4.386 0.184
0.132 0.365 8.379
H Ni Co
2 6 2
Direct
0.684 0.170 0.592
0.184 0.672 0.593
0.251 0.314 0.727
0.373 0.607 0.973
0.751 0.815 0.725
0.616 0.528 0.458
0.494 0.235 0.212
0.117 0.026 0.460
0.873 0.104 0.972
0.994 0.737 0.213

=====

Entry 7:
Co2Ni2H3 (PBE, relaxed); magnetic moment = 3.268 μB/f.u.; E = -5.11 eV/atom; SG = C2/m (12)
1.0
-1.410 -1.194 -1.828
3.653 -2.326 -1.298
-0.854 -2.084 3.867
H Co Ni
3 2 2
Direct
0.251 0.749 0.502
0.000 0.000 0.000
0.749 0.251 0.498
0.876 0.611 0.751
0.124 0.389 0.249
0.622 0.873 0.244
0.378 0.127 0.756

=====

Entry 8:
Co5NiH4 (PBE, relaxed); magnetic moment = 6.843 μB/f.u.; E = -5.46 eV/atom; SG = C2/m (12)
1.0
-0.822 -1.563 -1.872
-0.226 -3.912 3.365
-4.725 3.064 1.287
Co H Ni
5 4 1
Direct
0.827 0.653 0.655
0.170 0.825 0.340
0.500 0.500 0.000
0.173 0.347 0.345
0.830 0.175 0.660
0.667 0.081 0.335
0.000 0.259 0.000
0.333 0.919 0.665
0.000 0.741 0.000
0.500 0.000 0.000

=====

Entry 9:
CoNiH4 (PBE, relaxed); magnetic moment = 0.148 μB/f.u.; E = -4.34 eV/atom; SG = P4/mmm (123)
1.0
-1.680 -0.654 -2.186
2.264 -0.809 -1.499
-0.399 -3.782 1.438
H Ni Co
4 1 1
Direct
0.001 0.497 0.758
0.001 0.497 0.238
0.501 0.997 0.238
0.501 0.997 0.758
0.001 0.997 0.498
0.501 0.497 0.998

=====

Entry 10:
CoNi4H (PBE, relaxed); magnetic moment = 3.579 μB/f.u.; E = -5.59 eV/atom; SG = P2/m (10)
1.0
4.086 0.000 -1.546
0.000 2.509 0.000
-3.186 0.000 12.252
Ni Co H
8 2 2
Direct
0.000 0.000 0.000
0.979 0.000 0.792
0.500 0.500 0.000
0.324 0.000 0.596
0.676 0.000 0.404
0.508 0.500 0.206
0.021 0.000 0.208
0.492 0.500 0.794
0.178 0.500 0.403
0.822 0.500 0.597
0.500 0.000 0.898
0.500 0.000 0.102

=====

Entry 11:
Co2NiH2 (PBE, relaxed); magnetic moment = 3.051 μB/f.u.; E = -5.12 eV/atom; SG = P4/mbm (127)
1.0
-0.489 -5.218 1.152
3.240 -1.210 -4.103
2.104 0.159 1.614
Co H Ni
4 4 2
Direct
0.346 0.154 0.500
0.654 0.846 0.500
0.846 0.346 0.500
0.154 0.654 0.500
0.306 0.806 0.000
0.806 0.694 0.000
0.194 0.306 0.000
0.694 0.194 0.000
0.000 0.000 0.000
0.500 0.500 0.000

=====

Entry 12:
CoNi2H3 (PBE, relaxed); magnetic moment = 1.157 μB/f.u.; E = -4.79 eV/atom; SG = C2/m (12)
1.0
3.699 0.000 0.000
0.000 5.262 0.009
-1.850 -1.312 3.947
Ni Co H
4 2 6
Direct
0.334 0.417 0.667
0.666 0.583 0.333
0.666 0.083 0.333
0.334 0.917 0.667
0.000 0.750 0.000
0.000 0.250 0.000
0.500 0.750 0.000
0.500 0.250 0.000
0.157 0.078 0.314
0.843 0.422 0.686
0.157 0.578 0.314
0.843 0.922 0.686

=====

Entry 13:
Co2NiH (PBE, relaxed); magnetic moment = 3.083 μB/f.u.; E = -5.25 eV/atom; SG = Fm-3m (225)
1.0
0.000 2.679 2.679
2.679 0.000 2.679
2.679 2.679 0.000
Co Ni H
2 1 1
Direct
0.750 0.750 0.750
0.250 0.250 0.250
0.500 0.500 0.500
0.000 0.000 0.000

=====

Entry 14:
Co3NiH (PBE, relaxed); magnetic moment = 5.234 μB/f.u.; E = -6.06 eV/atom; SG = Pm-3m (221)
1.0
-0.208 -1.882 3.031
3.424 0.748 0.700
-1.003 2.944 1.759
Ni Co H
1 3 1
Direct
0.500 0.500 0.500
0.500 0.000 0.000
0.000 0.500 0.000
0.000 0.000 0.500
0.000 0.000 0.000

=====

Entry 15:
CoNiH4 (PBE, relaxed); magnetic moment = 0.555 μB/f.u.; E = -4.24 eV/atom; SG = P-1 (2)
1.0
4.722 -0.477 -0.009
-1.678 4.228 0.004
-1.529 -1.874 3.738
Ni H Co
2 8 2
Direct
0.410 0.659 0.319
0.590 0.341 0.681
0.730 0.100 0.420
0.076 0.241 0.929
0.270 0.900 0.580
0.810 0.679 0.578
0.190 0.321 0.422
0.648 0.313 0.071
0.352 0.687 0.929
0.924 0.759 0.071
0.778 0.027 0.055
0.222 0.973 0.945

=====

Entry 16:
Co2Ni8H (PBE, relaxed); magnetic moment = 8.125 μB/f.u.; E = -5.72 eV/atom; SG = Immm (71)
1.0
3.957 0.000 -1.068
-0.401 4.677 -1.485
-0.389 -0.582 6.421
Ni H Co
8 1 2
Direct
0.809 0.809 0.617
0.000 0.255 0.000
0.384 0.134 0.767
0.616 0.866 0.233
0.616 0.367 0.233
0.191 0.191 0.383
0.000 0.745 0.000
0.384 0.633 0.767
0.500 0.000 0.000
0.812 0.312 0.624
0.188 0.688 0.376

=====

Entry 17:
CoNi6H3 (PBE, relaxed); magnetic moment = 4.115 μB/f.u.; E = -5.08 eV/atom; SG = C2 (5)
1.0
4.434 0.025 -2.372
-2.855 4.094 0.016
-0.172 -0.071 4.988
Ni H Co
6 3 1
Direct
0.698 0.907 0.195
0.200 0.903 0.697
0.196 0.405 0.694
0.702 0.405 0.693
0.204 0.906 0.195
0.700 0.398 0.202
0.410 0.503 0.097
0.200 0.165 0.435
0.990 0.503 0.096
0.700 0.904 0.697

=====

Entry 18:
Co2NiH (PBE, relaxed); magnetic moment = 3.640 μB/f.u.; E = -5.81 eV/atom; SG = R-3m (166)
1.0
2.546 0.000 0.000
1.273 2.205 0.000
1.273 0.735 6.174
Co H Ni
2 1 1
Direct
0.275 0.275 0.174
0.725 0.725 0.826
0.000 0.000 0.000
0.500 0.500 0.500

=====

Entry 19:
CoNi2H (PBE, relaxed); magnetic moment = 2.616 μB/f.u.; E = -5.29 eV/atom; SG = R-3m (166)
1.0
2.485 0.000 0.000
1.243 2.152 0.000
1.243 0.717 6.909
H Co Ni
1 1 2
Direct
0.500 0.500 0.500
0.000 0.000 0.000
0.112 0.112 0.663
0.888 0.888 0.337

=====

Entry 20:
Co2Ni2H7 (PBE, relaxed); magnetic moment = 0.000 μB/f.u.; E = -4.41 eV/atom; SG = Cmmm (65)
1.0
3.909 0.308 0.401
-0.382 3.944 0.667
-0.382 -0.379 3.982
H Co Ni
7 2 2
Direct
0.247 0.500 0.500
0.000 0.000 0.000
0.255 0.500 0.000
0.255 0.000 0.500
0.745 0.000 0.500
0.753 0.500 0.500
0.745 0.500 0.000
0.000 0.266 0.266
0.000 0.734 0.734
0.500 0.761 0.239
0.500 0.239 0.761

=====

Entry 21:
CoNi2H (PBE, relaxed); magnetic moment = 2.468 μB/f.u.; E = -4.93 eV/atom; SG = Fm-3m (225)
1.0
2.024 -1.015 3.056
-1.196 0.965 3.479
-1.330 -2.668 2.362
Ni H Co
2 1 1
Direct
0.750 0.750 0.750
0.250 0.250 0.250
0.000 0.000 0.000
0.500 0.500 0.500

=====

Entry 22:
Co2NiH (PBE, relaxed); magnetic moment = 3.788 μB/f.u.; E = -5.61 eV/atom; SG = P4/mmm (123)
1.0
-1.472 0.869 -1.751
0.973 -1.575 -1.600
-4.124 -4.037 1.464
Co Ni H
2 1 1
Direct
0.000 0.000 0.196
0.000 0.000 0.804
0.500 0.500 0.500
0.500 0.500 0.000

=====

Entry 23:
CoNi2H (PBE, relaxed); magnetic moment = 2.494 μB/f.u.; E = -5.50 eV/atom; SG = R3m (160)
1.0
2.535 0.000 0.000
1.268 2.196 0.000
1.268 0.732 6.245
H Ni Co
1 2 1
Direct
0.666 0.666 0.001
0.274 0.274 0.178
0.059 0.059 0.822
0.500 0.500 0.499

=====

Entry 24:
CoNiH3 (PBE, relaxed); magnetic moment = 0.035 μB/f.u.; E = -4.51 eV/atom; SG = C2/c (15)
1.0
4.293 0.030 0.027
0.475 5.341 0.176
0.475 0.781 5.287
H Ni Co
12 4 4
Direct
0.500 0.597 0.625
0.476 0.118 0.645
0.024 0.355 0.882
0.000 0.375 0.403
0.000 0.625 0.597
0.524 0.882 0.355
0.949 0.014 0.768
0.500 0.403 0.375
0.449 0.768 0.014
0.051 0.986 0.232
0.551 0.232 0.986
0.976 0.645 0.118
0.781 0.383 0.150
0.719 0.850 0.617
0.281 0.150 0.383
0.219 0.617 0.850
0.250 0.088 0.912
0.750 0.330 0.670
0.250 0.670 0.330
0.750 0.912 0.088